(1)
! Sc2MnTc | Alexandria | PBE | relaxed; values from VASP
! DOS at the Fermi energy	2.570	states/eV/f.u.
! total DFT energy (no corrections)	-7.71	eV per atom
! crystal system	trigonal
! total magnetization	3.5	μB/f.u.
! space-group type	R-3m (166)
! ρ	5.1	Mg/m³
! energy relative to the elements	0.337	eV/atom
&SYSTEM
  ibrav = 0, nat = 4, ntyp = 3
/
ATOMIC_SPECIES
Sc 44.96 Sc.upf
Mn 54.94 Mn.upf
Tc 98.00 Tc.upf
CELL_PARAMETERS angstrom
1.548 0.894 9.509
-1.548 0.894 9.509
0.000 -1.787 9.509
ATOMIC_POSITIONS angstrom
Sc 0.000 0.000 2.770
Sc 0.000 0.000 25.757
Mn 0.000 0.000 0.000
Tc 0.000 0.000 14.263



(2)
! K2MnH6 | Alexandria | PBE | relaxed; values from VASP
! DOS at the Fermi energy	0.000	states/eV/f.u.
! total DFT energy (no corrections)	-3.54	eV per atom
! crystal system	tetragonal
! total magnetization	3.0	μB/f.u.
! space-group type	P4_2/mnm (136)
! ρ	1.6	Mg/m³
&SYSTEM
  ibrav = 0, nat = 18, ntyp = 3
/
ATOMIC_SPECIES
K 39.10 K.upf
Mn 54.94 Mn.upf
H 1.01 H.upf
CELL_PARAMETERS angstrom
5.160 0.000 0.000
0.000 5.160 0.000
0.000 0.000 10.602
ATOMIC_POSITIONS angstrom
K 0.000 0.000 1.706
K 0.000 0.000 8.896
K 2.580 2.580 3.595
K 2.580 2.580 7.007
Mn 0.000 0.000 5.301
Mn 2.580 2.580 0.000
H 0.804 0.804 4.105
H 0.804 0.804 6.497
H 1.163 3.998 5.301
H 1.417 1.417 0.000
H 1.776 3.384 1.196
H 1.776 3.384 9.406
H 3.384 1.776 1.196
H 3.384 1.776 9.406
H 3.743 3.743 0.000
H 3.998 1.163 5.301
H 4.356 4.356 4.105
H 4.356 4.356 6.497



(3)
! Tm4CdAg | Alexandria | PBE | relaxed; values from VASP
! energy relative to the lowest polymorph listed for this composition	0	meV per atom
! DOS at the Fermi energy	6.880	states/eV/f.u.
! total DFT energy (no corrections)	-3.79	eV per atom
! crystal system	tetragonal
! total magnetization	2.1	μB/f.u.
! space-group type	P4/mmm (123)
! ρ	9.4	Mg/m³
! energy relative to the elements	-0.183	eV/atom
&SYSTEM
  ibrav = 0, nat = 6, ntyp = 3
/
ATOMIC_SPECIES
Tm 168.93 Tm.upf
Cd 112.41 Cd.upf
Ag 107.87 Ag.upf
CELL_PARAMETERS angstrom
3.525 0.000 0.000
0.000 3.525 0.000
0.000 0.000 12.770
ATOMIC_POSITIONS angstrom
Tm 0.000 0.000 1.856
Tm 0.000 0.000 10.914
Tm 1.762 1.762 4.309
Tm 1.762 1.762 8.461
Cd 0.000 0.000 6.385
Ag 1.762 1.762 0.000



(4)
! Ac2ScSnAu6 | Alexandria | PBE | relaxed; values from VASP
! DOS at the Fermi energy	7.434	states/eV/f.u.
! total DFT energy (no corrections)	-4.14	eV per atom
! crystal system	cubic
! total magnetization	0.0	μB/f.u.
! space-group type	Fm-3m (225)
! ρ	10.5	Mg/m³
! energy relative to the elements	-0.314	eV/atom
&SYSTEM
  ibrav = 0, nat = 10, ntyp = 4
/
ATOMIC_SPECIES
Ac 227.00 Ac.upf
Sc 44.96 Sc.upf
Sn 118.71 Sn.upf
Au 196.97 Au.upf
CELL_PARAMETERS angstrom
0.000 5.214 5.214
5.214 0.000 5.214
5.214 5.214 0.000
ATOMIC_POSITIONS angstrom
Ac 2.607 2.607 2.607
Ac 7.822 7.822 7.822
Sc 0.000 0.000 0.000
Sn 5.214 5.214 5.214
Au 5.214 5.214 2.584
Au 5.214 2.584 5.214
Au 7.845 5.214 5.214
Au 2.584 5.214 5.214
Au 5.214 7.845 5.214
Au 5.214 5.214 7.845



(5)
! Nd6PdRh3 | Alexandria | PBE | relaxed; values from VASP
! DOS at the Fermi energy	6.764	states/eV/f.u.
! total DFT energy (no corrections)	-6.10	eV per atom
! crystal system	orthorhombic
! total magnetization	0.0	μB/f.u.
! space-group type	Cmc2_1 (36)
! ρ	7.5	Mg/m³
! energy relative to the elements	-0.519	eV/atom
&SYSTEM
  ibrav = 0, nat = 20, ntyp = 3
/
ATOMIC_SPECIES
Nd 144.24 Nd.upf
Pd 106.42 Pd.upf
Rh 102.91 Rh.upf
CELL_PARAMETERS angstrom
5.516 -7.180 0.000
5.516 7.180 0.000
0.000 0.000 7.150
ATOMIC_POSITIONS angstrom
Nd 5.516 7.040 3.575
Nd 3.637 3.212 3.084
Nd 5.516 3.797 6.159
Nd 3.605 0.445 6.289
Nd 3.605 -0.445 2.714
Nd 7.394 3.212 3.084
Nd 3.637 -3.212 6.659
Nd 7.426 0.445 6.289
Nd 7.426 -0.445 2.714
Nd 5.516 -3.797 2.584
Nd 7.394 -3.212 6.659
Nd 5.516 -7.040 0.000
Pd 5.516 4.910 1.650
Pd 5.516 -4.910 5.225
Rh 2.005 1.644 1.379
Rh 2.005 -1.644 4.954
Rh 5.516 1.412 4.345
Rh 5.516 -1.412 0.770
Rh 9.026 1.644 1.379
Rh 9.026 -1.644 4.954



(6)
! LiHoTh | Alexandria | PBE | relaxed; values from VASP
! energy relative to the lowest polymorph listed for this composition	82	meV per atom
! DOS at the Fermi energy	2.410	states/eV/f.u.
! total DFT energy (no corrections)	-4.50	eV per atom
! crystal system	trigonal
! total magnetization	0.0	μB/f.u.
! space-group type	P3m1 (156)
! ρ	7.6	Mg/m³
! energy relative to the elements	0.137	eV/atom
&SYSTEM
  ibrav = 0, nat = 3, ntyp = 3
/
ATOMIC_SPECIES
Li 6.94 Li.upf
Ho 164.93 Ho.upf
Th 232.04 Th.upf
CELL_PARAMETERS angstrom
3.472 0.000 0.000
-1.736 3.006 0.000
0.000 0.000 8.447
ATOMIC_POSITIONS angstrom
Li 0.000 0.000 0.000
Ho 0.000 2.004 5.678
Th 1.736 1.002 2.847



(7)
! Mg2AlW | Alexandria | PBE | relaxed; values from VASP
! DOS at the Fermi energy	2.358	states/eV/f.u.
! total DFT energy (no corrections)	-4.79	eV per atom
! crystal system	orthorhombic
! total magnetization	0.0	μB/f.u.
! space-group type	Cmm2 (35)
! ρ	6.0	Mg/m³
! energy relative to the elements	0.176	eV/atom
&SYSTEM
  ibrav = 0, nat = 4, ntyp = 3
/
ATOMIC_SPECIES
Mg 24.30 Mg.upf
Al 26.98 Al.upf
W 183.84 W.upf
CELL_PARAMETERS angstrom
1.756 -2.214 0.000
1.756 2.214 0.000
0.000 0.000 9.283
ATOMIC_POSITIONS angstrom
Mg 0.000 0.000 0.000
Mg 1.756 0.000 2.636
Al 1.756 0.000 6.917
W 0.000 0.000 4.903



(8)
! CsAlPt2Br | Alexandria | PBE | relaxed; values from VASP
! DOS at the Fermi energy	2.569	states/eV/f.u.
! total DFT energy (no corrections)	-3.70	eV per atom
! crystal system	tetragonal
! total magnetization	0.0	μB/f.u.
! space-group type	P4/mmm (123)
! ρ	5.8	Mg/m³
&SYSTEM
  ibrav = 0, nat = 5, ntyp = 4
/
ATOMIC_SPECIES
Cs 132.91 Cs.upf
Al 26.98 Al.upf
Pt 195.08 Pt.upf
Br 79.90 Br.upf
CELL_PARAMETERS angstrom
4.699 0.000 0.000
0.000 4.699 0.000
0.000 0.000 8.105
ATOMIC_POSITIONS angstrom
Cs 0.000 0.000 0.000
Al 0.000 0.000 4.053
Pt 0.000 2.349 4.053
Pt 2.349 0.000 4.053
Br 2.349 2.349 0.000



Q: Which value of DOS at the Fermi energy does entry 6 give?
A: 2.410 states/eV/f.u.